Computed, not measured: a PBEsol-optimized structure of Mg3AsRu at the SCAN level of DFT.

Crystal system: cubic
Energy (eV for the cell shown): -66.9
Formation energy (eV/atom): 0.600
Symmetry: No. 221
DOS at the Fermi energy (states/eV/f.u.): 3.7

a b c (Å): 4.8362 4.8362 4.8362
angles (deg): 90.00 90.00 90.00
Site moments in Bohr magnetons follow the coordinates.
Fractional coordinates of all 5 atoms:
Ru  0.5000  0.5000  0.5000  1.74
As  0.0000  0.0000  0.0000  0.01
Mg  0.0000  0.5000  0.0000  -0.03
Mg  0.0000  0.0000  0.5000  -0.03
Mg  0.5000  0.0000  0.0000  -0.03